Version i
Here is an optimized crystal structure of LuNbAl2 from Alexandria. Energies are from PBE-GGA.

```
4
Lattice="4.299 0.000 0.000 0.000 4.299 0.000 0.000 0.000 4.109" Properties=species:S:1:pos:R:3 pbc="T T T"
Lu 0.000 0.000 0.000
Nb 2.149 2.149 0.000
Al 0.000 2.149 2.055
Al 2.149 0.000 2.055
```

Its space group is No. 123. The calculation puts the volume at 18.99 A^3/atom.



Version ii
Here is an optimized crystal structure of LuNbAl2 from Alexandria. Energies are from PBE-GGA.

```
4
Lattice="1.538 0.888 9.713 -1.538 0.888 9.713 0.000 -1.776 9.713" Properties=species:S:1:pos:R:3 pbc="T T T"
Lu 0.000 0.000 0.000
Nb 0.000 0.000 14.569
Al 0.000 0.000 7.098
Al 0.000 0.000 22.041
```

Its space group is No. 166. The calculation puts the volume at 19.91 A^3/atom.



Version iii
Here is an optimized crystal structure of LuNbAl2 from Alexandria. Energies are from PBE-GGA.

```
4
Lattice="3.513 0.000 0.000 0.000 3.513 0.000 0.000 0.000 6.247" Properties=species:S:1:pos:R:3 pbc="T T T"
Lu 0.000 0.000 0.000
Nb 0.000 0.000 3.124
Al 1.757 1.757 1.811
Al 1.757 1.757 4.436
```

Its space group is No. 123. The calculation puts the volume at 19.28 A^3/atom.



Of them, version ii has the lowest stability.



Version i
Here is an optimized crystal structure of NdLu2Al from Alexandria. Energies are from PBE-GGA.

```
4
Lattice="4.751 0.000 0.000 0.000 4.751 0.000 0.000 0.000 4.752" Properties=species:S:1:pos:R:3 pbc="T T T"
Nd 0.000 0.000 0.000
Lu 0.000 2.376 2.376
Lu 2.376 0.000 2.376
Al 2.376 2.376 0.000
```

Its space group is No. 123. The calculation puts the volume at 26.82 A^3/atom.



Version ii
Here is an optimized crystal structure of NdLu2Al from Alexandria. Energies are from PBE-GGA.

```
4
Lattice="3.498 0.000 0.000 0.000 3.498 0.000 0.000 0.000 8.908" Properties=species:S:1:pos:R:3 pbc="T T T"
Nd 0.000 0.000 0.000
Lu 1.749 1.749 2.603
Lu 1.749 1.749 6.306
Al 0.000 0.000 4.454
```

Its space group is No. 123. The calculation puts the volume at 27.25 A^3/atom.



Version iii
Here is an optimized crystal structure of NdLu2Al from Alexandria. Energies are from PBE-GGA.

```
4
Lattice="1.706 0.985 11.391 -1.706 0.985 11.391 0.000 -1.970 11.391" Properties=species:S:1:pos:R:3 pbc="T T T"
Nd 0.000 0.000 0.000
Lu 0.000 0.000 3.434
Lu 0.000 0.000 30.738
Al 0.000 0.000 17.086
```

Its space group is No. 166. The calculation puts the volume at 28.71 A^3/atom.



Of them, version iii has the lowest stability.



Version i
Here is an optimized crystal structure of NdLuAl2 from Alexandria. Energies are from PBE-GGA.

```
4
Lattice="3.630 0.000 0.000 0.000 3.630 0.000 0.000 0.000 7.227" Properties=species:S:1:pos:R:3 pbc="T T T"
Nd 0.000 0.000 0.000
Lu 0.000 0.000 3.613
Al 1.815 1.815 1.974
Al 1.815 1.815 5.253
```

Its space group is No. 123. The calculation puts the volume at 23.81 A^3/atom.



Version ii
Here is an optimized crystal structure of NdLuAl2 from Alexandria. Energies are from PBE-GGA.

```
4
Lattice="0.000 3.632 3.632 3.632 0.000 3.632 3.632 3.632 0.000" Properties=species:S:1:pos:R:3 pbc="T T T"
Nd 0.000 0.000 0.000
Lu 3.632 3.632 3.632
Al 1.816 1.816 1.816
Al 5.448 5.448 5.448
```

Its space group is No. 225. The calculation puts the volume at 23.95 A^3/atom.



Of them, version ii has the lowest stability.



Version i
Here is an optimized crystal structure of Lu3AlO6 from Alexandria. Energies are from PBE-GGA.

```
20
Lattice="4.328 -5.421 0.000 4.328 5.421 0.000 0.000 0.000 5.276" Properties=species:S:1:pos:R:3 pbc="T T T"
Lu 4.328 4.317 2.638
Lu 2.659 1.144 2.385
Lu 2.659 -1.144 5.023
Lu 5.998 1.144 2.385
Lu 5.998 -1.144 5.023
Lu 4.328 -4.317 0.000
Al 4.328 2.116 4.844
Al 4.328 -2.116 2.206
O 2.978 2.865 3.944
O 1.392 0.190 3.827
O 1.392 -0.190 1.189
O 4.328 2.324 1.332
O 5.678 2.865 3.944
O 4.328 0.463 4.151
O 4.328 -0.463 1.513
O 2.978 -2.865 1.306
O 4.328 -2.324 3.970
O 7.264 0.190 3.827
O 7.264 -0.190 1.189
O 5.678 -2.865 1.306
```

Its space group is No. 36. The calculation puts the volume at 12.38 A^3/atom.



Version ii
Here is an optimized crystal structure of Lu3AlO6 from Alexandria. Energies are from PBE-GGA.

```
20
Lattice="4.542 2.622 3.488 -4.542 2.622 3.488 0.000 -5.245 3.488" Properties=species:S:1:pos:R:3 pbc="T T T"
Lu -2.300 -2.291 4.849
Lu -3.135 0.846 5.615
Lu 0.834 -3.138 5.615
Lu -0.834 3.138 4.849
Lu 3.135 -0.846 4.849
Lu 2.300 2.291 5.615
Al 0.000 0.000 0.000
Al 0.000 0.000 5.232
O -3.962 -1.186 5.801
O -0.954 -4.024 4.663
O -1.684 -0.218 4.213
O -3.008 2.838 4.663
O -0.653 -1.568 6.251
O 1.031 -1.350 4.213
O -1.031 1.350 6.251
O 0.653 1.568 4.213
O 3.008 -2.838 5.801
O 1.684 0.218 6.251
O 0.954 4.024 5.801
O 3.962 1.186 4.663
```

Its space group is No. 148. The calculation puts the volume at 12.46 A^3/atom.



Of them, version i has the lowest stability.